VCo2SnW: relaxed, PBE-GGA.

Cell lengths 4.2675, 4.2675, 4.6316 Å; angles 90.00, 90.00, 90.00 degrees
With the nearest neighbours (Å) after each atom.
Fractional coordinates of all 5 atoms:
V 0.0000 0.0000 0.0000  4 Co 2.13, 2 W 2.32
Co 0.0000 0.5000 0.0000  2 V 2.13
Co 0.5000 0.0000 0.0000  2 V 2.13
Sn 0.5000 0.5000 0.5000  4 W 3.02, 8 Co 3.15
W 0.0000 0.0000 0.5000  2 V 2.32

Calculated values
energy of formation	557	kJ/mol of formula units
space group	P4/mmm
calculated density	9.3	g cm⁻³
density of states at the Fermi level	5.279	states/eV/cell
calculated total energy	-0.5073	Ry per atom
crystal system	tetragonal